## LiTm2MgPd4 (PBE-GGA)

Data for LiTm2MgPd4 after structural relaxation.

a = 4.6977 Å, b = 4.6977 Å, c = 22.9332 Å
α = 90.00°, β = 90.00°, γ = 120.00°
Space group R-3m (No. 166, hexagonal axes)
One atom of each set of equivalent atoms:
Li1 0.0000 0.0000 0.0000 x3
Tm1 0.0000 0.0000 0.2518 x6
Mg1 0.0000 0.0000 0.5000 x3
Pd1 0.0000 0.0000 0.1256 x6
Pd2 0.0000 0.0000 0.3758 x6

## Properties
DFT formation energy = -790.5 meV/atom
Energy = -0.363 Ry per atom
Total magnetization = 0.0 μB/f.u.